! RbTl2F GGA-PBE relaxed; values from VASP
! ΔE_f (raw) = -0.78 eV per atom
! offset from the most stable computed form = 0 meV/atom
! SG = I-42d
&SYSTEM
  ibrav = 0, nat = 8, ntyp = 3
/
ATOMIC_SPECIES
Rb 85.47 Rb.upf
Tl 204.38 Tl.upf
F 19.00 F.upf
ATOMIC_POSITIONS crystal
Rb 0.000 0.000 0.000
Rb 0.750 0.250 0.500
Tl 0.304 0.625 0.250
Tl 0.375 0.554 0.750
Tl 0.446 0.125 0.250
Tl 0.875 0.696 0.750
F 0.500 0.500 0.000
F 0.250 0.750 0.500
CELL_PARAMETERS angstrom
-4.342 -2.944 2.749
1.407 -4.897 -3.021
4.319 -6.315 6.439

! LiPb2 GGA-PBE relaxed; values from VASP
! energy of formation = -0.0974 eV/atom
! offset from the most stable computed form = 73 meV/atom
! SG = P6_3/mmc
&SYSTEM
  ibrav = 0, nat = 6, ntyp = 2
/
ATOMIC_SPECIES
Pb 207.20 Pb.upf
Li 6.94 Li.upf
ATOMIC_POSITIONS crystal
Pb 0.667 0.333 0.750
Pb 0.000 0.000 0.500
Pb 0.000 0.000 0.000
Pb 0.333 0.667 0.250
Li 0.667 0.333 0.250
Li 0.333 0.667 0.750
CELL_PARAMETERS angstrom
5.312 0.000 0.000
-2.656 4.600 0.000
0.000 0.000 6.573

Number 1: DOS(E_F) 1.9 states/eV per cell, energy -21.35 eV for the cell shown. Number 2: DOS(E_F) 4.5 states/eV per cell, energy -19.25 eV for the cell shown.